Record 1
Compound: ZnReF2
Source: Alexandria via LeMat-Bulk
Functional: PBE
Structure: optimized geometry

Cell: 4.1222 4.1222 4.1222 Å, 60.00 60.00 60.00°
Each line ends with the local moment (μB).
Atoms (fractional coordinates):
Zn 0.0000 0.0000 0.0000  -0.01
F 0.7500 0.7500 0.7500  0.01
F 0.2500 0.2500 0.2500  0.01
Re 0.5000 0.5000 0.5000  0.68

Calculated values
E above lowest polymorph: 1261.3 meV per atom
ρ: 9710 kg/m3
magnetic moment: 0.8 μB/f.u.
E_form (uncorrected): 0.2285 eV/atom

Record 2
Compound: Nb2TeAs
Source: Alexandria via LeMat-Bulk
Functional: PBE
Structure: optimized geometry

Cell: 4.9206 4.9206 8.7882 Å, 73.74 73.74 90.00°
Atoms (fractional coordinates):
As 0.5000 0.5000 0.0000
As 0.2500 0.7500 0.5000
Nb 0.8750 0.8118 0.7500
Nb 0.5618 0.1250 0.2500
Nb 0.3750 0.4382 0.7500
Nb 0.1882 0.6250 0.2500
Te 0.0000 0.0000 0.0000
Te 0.7500 0.2500 0.5000

Calculated values
E above lowest polymorph: 521.4 meV per atom
ρ: 6600 kg/m3
magnetic moment: 0.0 μB/f.u.
E_form (uncorrected): 0.3224 eV/atom

Record 3
Compound: MnSi2SN
Source: Alexandria via LeMat-Bulk
Functional: PBE
Structure: optimized geometry

Cell: 6.4489 2.9182 7.8251 Å, 90.00 113.51 90.00°
Atoms (fractional coordinates):
Si 0.8921 0.0000 0.1622
Si 0.8921 0.5000 0.6622
Si 0.6083 0.0000 0.8423
Si 0.6083 0.5000 0.3423
N 0.6967 0.5000 0.7670
N 0.6967 0.0000 0.2670
Mn 0.2081 0.5000 0.2776
Mn 0.2081 0.0000 0.7776
S 0.2320 0.0000 0.4895
S 0.2320 0.5000 0.9895

Calculated values
E above lowest polymorph: 171.4 meV per atom
ρ: 3866 kg/m3
magnetic moment: 0.0 μB/f.u.
E_form (uncorrected): -0.2869 eV/atom

Record 4
Compound: MoBr3
Source: Alexandria via LeMat-Bulk
Functional: PBE
Structure: optimized geometry

Cell: 5.0638 5.0638 5.0638 Å, 60.00 60.00 60.00°
Each line ends with the local moment (μB).
Atoms (fractional coordinates):
Br 0.7500 0.7500 0.7500  -0.13
Br 0.0000 0.0000 0.0000  -0.10
Br 0.2500 0.2500 0.2500  -0.13
Mo 0.5000 0.5000 0.5000  2.99

Calculated values
ρ: 6070 kg/m3
magnetic moment: 3.0 μB/f.u.
E_form (uncorrected): 0.6460 eV/atom

Record 5
Compound: In2CoTc
Source: Alexandria via LeMat-Bulk
Functional: PBE
Structure: optimized geometry

Cell: 8.7757 8.7757 8.7757 Å, 19.83 19.83 19.83°
Each line ends with the local moment (μB).
Atoms (fractional coordinates):
In 0.4961 0.4961 0.4961  -0.02
In 0.0039 0.0039 0.0039  -0.02
Co 0.7500 0.7500 0.7500  1.07
Tc 0.2500 0.2500 0.2500  0.25

Calculated values
E above lowest polymorph: 166.3 meV per atom
ρ: 9434 kg/m3
formation energy: 0.39 eV/atom
magnetic moment: 1.3 μB/f.u.

Record 6
Compound: Nd3CoSn2
Source: Alexandria via LeMat-Bulk
Functional: PBE
Structure: optimized geometry

Cell: 4.4051 11.9654 12.6137 Å, 90.00 90.00 90.00°
Atoms (fractional coordinates):
Sn 0.7500 0.3131 0.5102
Sn 0.7500 0.9938 0.6922
Sn 0.2500 0.4938 0.8078
Sn 0.2500 0.6869 0.4898
Sn 0.7500 0.1869 0.0102
Sn 0.2500 0.8131 0.9898
Sn 0.2500 0.0062 0.3078
Sn 0.7500 0.5062 0.1922
Co 0.7500 0.6341 0.3695
Co 0.7500 0.8659 0.8695
Co 0.2500 0.3659 0.6305
Co 0.2500 0.1341 0.1305
Nd 0.7500 0.9517 0.1211
Nd 0.2500 0.7092 0.2356
Nd 0.7500 0.8702 0.4472
Nd 0.2500 0.3702 0.0528
Nd 0.2500 0.4517 0.3789
Nd 0.2500 0.7908 0.7356
Nd 0.7500 0.6298 0.9472
Nd 0.7500 0.2908 0.7644
Nd 0.7500 0.5483 0.6211
Nd 0.2500 0.0483 0.8789
Nd 0.7500 0.2092 0.2644
Nd 0.2500 0.1298 0.5528

Calculated values
ρ: 7284 kg/m3
formation energy: -0.57 eV/atom
magnetic moment: 0.0 μB/f.u.

Record 7
Compound: TmTlAu4
Source: Alexandria via LeMat-Bulk
Functional: PBE
Structure: optimized geometry

Cell: 5.6301 5.6301 5.6301 Å, 60.00 60.00 60.00°
Atoms (fractional coordinates):
Tl 0.2500 0.2500 0.2500
Tm 0.0000 0.0000 0.0000
Au 0.1246 0.6251 0.6251
Au 0.6251 0.1246 0.6251
Au 0.6251 0.6251 0.1246
Au 0.6251 0.6251 0.6251

Calculated values
ρ: 15280 kg/m3
formation energy: -0.35 eV/atom
magnetic moment: 0.0 μB/f.u.

Record 8
Compound: PmNdGa
Source: Alexandria via LeMat-Bulk
Functional: PBE
Structure: optimized geometry

Cell: 4.5051 8.0983 8.0983 Å, 120.00 90.00 90.00°
Atoms (fractional coordinates):
Ga 0.0000 0.6667 0.3333
Ga 0.5000 0.0000 0.0000
Ga 0.0000 0.3333 0.6667
Nd 0.5000 0.0000 0.5949
Nd 0.5000 0.5949 0.0000
Nd 0.5000 0.4051 0.4051
Pm 0.0000 0.2684 0.0000
Pm 0.0000 0.0000 0.2684
Pm 0.0000 0.7316 0.7316

Calculated values
E above lowest polymorph: 0.0 meV per atom
ρ: 6989 kg/m3
formation energy: -0.40 eV/atom
magnetic moment: 0.0 μB/f.u.

Record 9
Compound: La3HgO
Source: Alexandria via LeMat-Bulk
Functional: PBE
Structure: optimized geometry

Cell: 9.3820 9.3820 6.1482 Å, 90.00 90.00 131.86°
Atoms (fractional coordinates):
O 0.3825 0.6175 0.2500
O 0.6175 0.3825 0.7500
La 0.0000 0.0000 0.0000
La 0.0000 0.0000 0.5000
La 0.4290 0.0820 0.7500
La 0.9180 0.5710 0.7500
La 0.0820 0.4290 0.2500
La 0.5710 0.9180 0.2500
Hg 0.1705 0.8295 0.2500
Hg 0.8295 0.1705 0.7500

Calculated values
E above lowest polymorph: 543.1 meV per atom
ρ: 5218 kg/m3
magnetic moment: 0.0 μB/f.u.
E_form (uncorrected): -0.8207 eV/atom

Record 10
Compound: CaSn2Sb2
Source: Alexandria via LeMat-Bulk
Functional: PBE
Structure: optimized geometry

Cell: 8.2069 8.2069 4.3777 Å, 90.00 90.00 90.00°
Atoms (fractional coordinates):
Sn 0.6560 0.8440 0.5000
Sn 0.3440 0.1560 0.5000
Sn 0.1560 0.6560 0.5000
Sn 0.8440 0.3440 0.5000
Ca 0.0000 0.0000 0.0000
Ca 0.5000 0.5000 0.0000
Sb 0.3561 0.8561 0.0000
Sb 0.6439 0.1439 0.0000
Sb 0.1439 0.3561 0.0000
Sb 0.8561 0.6439 0.0000

Calculated values
ρ: 5869 kg/m3
magnetic moment: 0.0 μB/f.u.
E_form (uncorrected): -0.2050 eV/atom

Record 11
Compound: AsPAuCl2
Source: Alexandria via LeMat-Bulk
Functional: PBE
Structure: optimized geometry

Cell: 4.7171 4.7171 5.3728 Å, 90.00 90.00 90.00°
Atoms (fractional coordinates):
Au 0.5000 0.5000 0.5000
Cl 0.5000 0.0000 0.0000
Cl 0.0000 0.5000 0.0000
P 0.0000 0.0000 0.5000
As 0.0000 0.0000 0.0000

Calculated values
E above lowest polymorph: 0.0 meV per atom
ρ: 5192 kg/m3
magnetic moment: 0.0 μB/f.u.
E_form (uncorrected): 0.5068 eV/atom

Record 12
Compound: LaCrCu2Pb
Source: Alexandria via LeMat-Bulk
Functional: PBE
Structure: optimized geometry

Cell: 4.8576 6.1202 4.8576 Å, 90.00 90.00 90.00°
Each line ends with the local moment (μB).
Atoms (fractional coordinates):
Cr 0.5000 0.5000 0.5000  0.22
Cu 0.0000 0.0000 0.5000  -0.01
Cu 0.5000 0.0000 0.0000  0.00
Pb 0.0000 0.0000 0.0000  0.00
La 0.0000 0.5000 0.0000  0.01

Calculated values
ρ: 6039 kg/m3
formation energy: 1.44 eV/atom
magnetic moment: 0.2 μB/f.u.